Model 1:
The following is a PBE calculation of a geometry-optimized KNiTeI2 structure, from Alexandria.

Cell: 5.731 5.731 4.986 Å, 90.00 90.00 90.00°
Site moments in Bohr magnetons follow the coordinates.
Element x y z (fractional)
Te (0.000, 0.000, 0.500)  0.37
I (0.500, 0.000, 0.000)  0.08
I (0.000, 0.500, 0.000)  0.08
K (0.500, 0.500, 0.500)  0.00
Ni (0.000, 0.000, 0.000)  0.43

Calculated values
- Symmetry: No. 123
- V: 164 Å³/f.u.
- Total moment: 1.3 μB/f.u.


Model 2:
The following is a PBE calculation of a geometry-optimized KNiTeI2 structure, from Alexandria.

Cell: 6.332 6.332 6.283 Å, 90.00 90.00 90.00°
Site moments in Bohr magnetons follow the coordinates.
Element x y z (fractional)
Ni (0.500, 0.500, 0.500)  0.99
Te (0.000, 0.000, 0.500)  -0.06
I (0.000, 0.500, 0.000)  0.01
I (0.500, 0.000, 0.000)  0.01
K (0.000, 0.000, 0.000)  -0.01

Calculated values
- Symmetry: No. 123
- V: 252 Å³/f.u.
- Total moment: 1.0 μB/f.u.


Name the most stable of them. model 1.